(1)
VASP calculation (GGA-PBE) on a geometry-optimized NdTaO4 structure.

Cell: 5.665 5.278 5.470 Å, 83.23 90.00 90.00°
Fractional positions:
O 0.562 0.725 0.493
Ta 0.686 0.500 0.250
O 0.905 0.744 0.111
O 0.905 0.256 0.389
Nd 0.765 0.000 0.750
O 0.438 0.725 0.993
Nd 0.235 0.000 0.250
Ta 0.314 0.500 0.750
O 0.562 0.275 0.007
O 0.095 0.256 0.889
O 0.095 0.744 0.611
O 0.438 0.275 0.507

space group = P2/c
density = 7.96 g/cm3
formation energy (no corrections) = -310.07 kJ per mole of atoms

=====

(2)
VASP calculation (GGA-PBE) on a geometry-optimized AcCd3Hg7 structure.

Cell: 7.433 6.913 6.913 Å, 120.00 90.00 90.00°
Fractional positions:
Hg 0.484 0.846 0.692
Cd 0.791 0.993 0.496
Cd 0.791 0.504 0.007
Hg 0.484 0.846 0.154
Hg 0.484 0.308 0.154
Hg 0.148 0.667 0.333
Cd 0.791 0.504 0.496
Hg 0.077 0.148 0.852
Hg 0.077 0.704 0.852
Hg 0.077 0.148 0.296
Ac 0.411 0.333 0.667

formation energy = -81 meV per atom
space group = P3m1
density = 10.62 g/cm3